VASP calculation (meta-GGA SCAN) on a crystal of Cu2TcSnBi relaxed with PBEsol.

Cell: 4.6933 4.6933 4.9932 Å, 90.00 90.00 90.00°
Site moments in Bohr magnetons follow the coordinates.
Fractional coordinates of all 5 atoms:
Tc 0.0000 0.0000 0.0000  1.16
Bi 0.5000 0.5000 0.5000  0.03
Cu 0.0000 0.5000 0.0000  0.10
Cu 0.5000 0.0000 0.0000  0.10
Sn 0.0000 0.0000 0.5000  -0.02

Summary:
DFT formation energy	1.00	eV per atom
total magnetization	1.33	μB/f.u.
space-group type	P4/mmm, No. 123
DOS(E_F)	3.3	states/eV/f.u.
raw total energy	-174.95	eV/cell


VASP calculation (meta-GGA SCAN) on a crystal of BaSeIBr2 relaxed with PBEsol.

Cell: 5.6989 5.6989 5.6484 Å, 90.00 90.00 90.00°
Fractional coordinates of all 5 atoms:
I 0.0000 0.0000 0.0000
Se 0.0000 0.0000 0.5000
Ba 0.5000 0.5000 0.5000
Br 0.0000 0.5000 0.0000
Br 0.5000 0.0000 0.0000

Summary:
total magnetization	0.00	μB/f.u.
space-group type	P4/mmm, No. 123
DOS(E_F)	1.1	states/eV/f.u.
E_form (uncorrected)	-16.96	kcal/mol of atoms
raw total energy	-138.97	eV/cell


VASP calculation (meta-GGA SCAN) on a crystal of HfTlFeB2 relaxed with PBEsol.

Cell: 4.2588 4.2588 4.7318 Å, 90.00 90.00 90.00°
Site moments in Bohr magnetons follow the coordinates.
Fractional coordinates of all 5 atoms:
Tl 0.0000 0.0000 0.0000  -0.01
B 0.0000 0.5000 0.0000  0.10
B 0.5000 0.0000 0.0000  0.10
Hf 0.5000 0.5000 0.5000  -0.19
Fe 0.0000 0.0000 0.5000  2.87

Summary:
DFT formation energy	2.07	eV per atom
total magnetization	2.99	μB/f.u.
space-group type	P4/mmm, No. 123
DOS(E_F)	3.1	states/eV/f.u.
raw total energy	-157.66	eV/cell


VASP calculation (meta-GGA SCAN) on a crystal of HgIN3 relaxed with PBEsol.

Cell: 4.0403 4.0403 4.0403 Å, 90.00 90.00 90.00°
Fractional coordinates of all 5 atoms:
I 0.0000 0.0000 0.0000
Hg 0.5000 0.5000 0.5000
N 0.0000 0.5000 0.0000
N 0.0000 0.0000 0.5000
N 0.5000 0.0000 0.0000

Summary:
total magnetization	0.00	μB/f.u.
space-group type	Pm-3m, No. 221
DOS(E_F)	3.0	states/eV/f.u.
E_form (uncorrected)	53.98	kcal/mol of atoms
raw total energy	-121.08	eV/cell


VASP calculation (meta-GGA SCAN) on a crystal of H2PtPb relaxed with PBEsol.

Cell: 4.1260 4.1260 4.1260 Å, 60.00 60.00 60.00°
Fractional coordinates of all 4 atoms:
Pb 0.5000 0.5000 0.5000
H 0.2500 0.2500 0.2500
H 0.7500 0.7500 0.7500
Pt 0.0000 0.0000 0.0000

Summary:
total magnetization	0.00	μB/f.u.
space-group type	Fm-3m, No. 225
DOS(E_F)	2.2	states/eV/f.u.
raw total energy	-149.36	eV/cell


VASP calculation (meta-GGA SCAN) on a crystal of HfRuN2O relaxed with PBEsol.

Cell: 3.9244 4.1407 4.1407 Å, 90.00 90.00 90.00°
Site moments in Bohr magnetons follow the coordinates.
Fractional coordinates of all 5 atoms:
Ru 0.5000 0.5000 0.5000  3.38
Hf 0.0000 0.0000 0.0000  0.04
O 0.5000 0.0000 0.0000  0.28
N 0.0000 0.0000 0.5000  0.63
N 0.0000 0.5000 0.0000  0.63

Summary:
total magnetization	5.46	μB/f.u.
space-group type	P4/mmm, No. 123
DOS(E_F)	2.6	states/eV/f.u.
E_form (uncorrected)	2.70	kcal/mol of atoms
raw total energy	-121.73	eV/cell